[1]
EuBi3H after structural relaxation. Source: Alexandria via LeMat-Bulk, functional PBE-GGA.

## Properties
Its total energy is -5.204 eV/atom.

abc: 5.0503 5.0503 5.0503
angles: 90.00 90.00 90.00
Fractional positions:
Eu1 0.0000 0.0000 0.0000
Bi1 0.0000 0.5000 0.5000
Bi2 0.5000 0.0000 0.5000
Bi3 0.5000 0.5000 0.0000
H1 0.5000 0.5000 0.5000

=====

[2]
Ho4TlIn3 after structural relaxation. Source: Alexandria via LeMat-Bulk, functional PBE-GGA.

## Properties
The calculation puts the formation energy from the elements at -0.42 eV per atom. The polymorph energy (0 for the lowest one) comes out at 0 meV/atom.

abc: 3.7425 3.7425 15.1205
angles: 90.00 90.00 90.00
Fractional positions:
Ho1 0.0000 0.0000 0.1236
Ho2 0.0000 0.0000 0.3721
Ho3 0.0000 0.0000 0.6279
Ho4 0.0000 0.0000 0.8764
Tl1 0.5000 0.5000 0.5000
In1 0.5000 0.5000 0.0000
In2 0.5000 0.5000 0.2479
In3 0.5000 0.5000 0.7521

=====

[3]
CuRe4Hg after structural relaxation. Source: Alexandria via LeMat-Bulk, functional PBE-GGA.

## Properties
The calculation puts the formation energy from the elements at 0.83 eV per atom.

abc: 5.2351 5.2351 5.2351
angles: 60.00 60.00 60.00
Fractional positions:
Cu1 0.0000 0.0000 0.0000
Re1 0.3746 0.3746 0.3746
Re2 0.3746 0.3746 0.8761
Re3 0.3746 0.8761 0.3746
Re4 0.8761 0.3746 0.3746
Hg1 0.7500 0.7500 0.7500

=====

[4]
SbWS2N after structural relaxation. Source: Alexandria via LeMat-Bulk, functional PBE-GGA.

## Properties
The polymorph energy (0 for the lowest one) comes out at 1399 meV/atom. As for the formation energy (no corrections): 1.553 eV per atom.

abc: 5.0456 5.0456 3.8049
angles: 90.00 90.00 90.00
Fractional positions:
Sb1 0.0000 0.0000 0.0000
W1 0.5000 0.5000 0.5000
S1 0.0000 0.5000 0.0000
S2 0.5000 0.0000 0.0000
N1 0.0000 0.0000 0.5000